Entry 1:
Below is crystalline Tb4YSc3Se8 at its relaxed geometry, with properties calculated at the PBE level.

Cell: 8.021 8.046 8.023 Å, 119.92 119.99 90.00°
Sites, in units of the cell vectors:
Se 0.261 0.262 0.012
Se 0.250 0.738 0.499
Se 0.256 0.267 0.512
Se 0.250 0.738 0.988
Se 0.739 0.738 0.988
Se 0.750 0.262 0.501
Se 0.750 0.262 0.012
Se 0.744 0.733 0.488
Sc 0.000 0.500 0.500
Sc 0.500 0.500 0.500
Sc 0.500 0.500 0.000
Y 0.000 0.500 0.000
Tb 0.000 0.000 0.500
Tb 0.500 0.000 0.500
Tb 0.500 0.000 0.000
Tb 0.000 0.000 0.000

Values from the calculation:
VASP energy = -6.181 eV per atom
symmetry = R-3m (166)
spin magnetization = 0.0000 μB per atom

***

Entry 2:
Below is crystalline K2CdPb2 at its relaxed geometry, with properties calculated at the PBE level.

Cell: 5.369 6.821 11.496 Å, 87.15 76.50 66.82°
Sites, in units of the cell vectors:
K 0.494 0.327 0.685
K 0.697 0.724 0.881
K 0.506 0.673 0.315
K 0.303 0.276 0.119
Pb 0.023 0.855 0.100
Pb 0.144 0.259 0.453
Pb 0.856 0.741 0.547
Pb 0.977 0.145 0.900
Cd 0.214 0.920 0.653
Cd 0.786 0.080 0.347

Values from the calculation:
VASP energy = -2.227 eV per atom
formation energy from the elements = -0.61 eV/f.u.
symmetry = C2/m (12)
spin magnetization = 0.0000 μB per atom

***

Entry 3:
Below is crystalline CeIrAu at its relaxed geometry, with properties calculated at the PBE level.

Cell: 3.885 3.737 8.965 Å, 102.03 90.00 90.00°
Sites, in units of the cell vectors:
Ce 0.750 0.105 0.211
Ce 0.250 0.895 0.789
Ir 0.750 0.447 0.894
Ir 0.250 0.553 0.106
Au 0.750 0.286 0.572
Au 0.250 0.714 0.428

Values from the calculation:
VASP energy = -6.679 eV per atom
formation energy from the elements = -1.96 eV/f.u.
symmetry = Cmcm (63)
spin magnetization = 0.0000 μB per atom

***

Entry 4:
Below is crystalline NaMnBeAg2 at its relaxed geometry, with properties calculated at the PBE level.

Cell: 4.804 4.555 4.804 Å, 90.00 90.00 90.00°
Site moments in Bohr magnetons follow the coordinates.
Sites, in units of the cell vectors:
Be 0.000 0.500 0.000  0.04
Mn 0.500 0.500 0.500  -4.29
Na 0.000 0.000 0.000  0.00
Ag 0.000 0.000 0.500  0.01
Ag 0.500 0.000 0.000  0.02

Values from the calculation:
VASP energy = -2.650 eV per atom
formation energy from the elements = 6.67 eV/f.u.
symmetry = P4/mmm (123)
spin magnetization = 0.8753 μB per atom

***

Entry 5:
Below is crystalline Ac4Pr4Ho3 at its relaxed geometry, with properties calculated at the PBE level.

Cell: 3.766 16.514 11.568 Å, 135.54 99.37 90.00°
Sites, in units of the cell vectors:
Ho 0.102 0.102 0.204
Ho 0.898 0.898 0.796
Ho 0.000 0.500 0.000
Ac 0.221 0.721 0.442
Ac 0.500 0.844 0.000
Ac 0.779 0.279 0.558
Ac 0.500 0.156 0.000
Pr 0.622 0.783 0.243
Pr 0.378 0.217 0.757
Pr 0.622 0.461 0.243
Pr 0.378 0.539 0.757

Values from the calculation:
VASP energy = -3.964 eV per atom
formation energy from the elements = 5.68 eV/f.u.
symmetry = Immm (71)
spin magnetization = 0.0000 μB per atom

***

Entry 6:
Below is crystalline La2PmNdSe4 at its relaxed geometry, with properties calculated at the PBE level.

Cell: 4.237 7.412 7.390 Å, 109.22 90.00 90.00°
Sites, in units of the cell vectors:
Se 0.500 0.751 0.756
Se 0.000 0.254 0.757
Se 0.500 0.249 0.244
Se 0.000 0.746 0.243
Pm 0.500 0.500 0.000
La 0.000 0.500 0.500
La 0.500 0.000 0.500
Nd 0.000 0.000 0.000

Values from the calculation:
VASP energy = -6.086 eV per atom
symmetry = P2/m (10)
spin magnetization = 0.0000 μB per atom